Computed, not measured: crystalline Nd4Sb2Br3 at its relaxed geometry at the PBE level of DFT.

Uncorrected formation energy, eV per atom: -1.36

Cell: 7.681 4.435 17.878 Å, 90.00 90.06 90.00°
Space group C2/m (No. 12)
One atom of each set of equivalent atoms:
Nd 0.001 0.000 0.300
Nd 0.166 0.500 0.895
Sb 0.167 0.500 0.202
Br 0.000 0.000 0.000
Br 0.166 0.500 0.603

=====

Computed, not measured: crystalline Ce2SnGePd6 at its relaxed geometry at the PBE level of DFT.

Energy of formation, meV per atom: -627

Cell: 5.511 6.498 6.696 Å, 74.03 65.77 64.97°
Space group P-1 (No. 2)
One atom of each set of equivalent atoms:
Ce 0.001 0.243 0.254
Sn 0.500 0.500 0.000
Ge 0.500 0.000 0.500
Pd 0.011 0.182 0.800
Pd 0.317 0.428 0.437
Pd 0.494 0.818 0.199

=====

Computed, not measured: crystalline TcIr3 at its relaxed geometry at the PBE level of DFT.

Energy of formation, meV per atom: 495

Cell: 8.7856 8.7856 2.6892 Å, 90.00 90.00 120.00°
Space group R-3m (No. 166, hexagonal axes)
One atom of each set of equivalent atoms:
Tc 0.0000 0.0000 0.0000
Ir 0.0000 0.5000 0.0000

=====

Computed, not measured: crystalline LaCoRe at its relaxed geometry at the PBE level of DFT.

Energy of formation, meV per atom: 1591
Polymorph energy (0 for the lowest one), meV per atom: 1508

Cell: 6.329 6.329 6.329 Å, 90.00 90.00 90.00°
Space group F-43m (No. 216)
One atom of each set of equivalent atoms:
La 0.000 0.000 0.000
Co 0.250 0.250 0.250
Re 0.250 0.250 0.750

=====

Computed, not measured: crystalline NaReAg3 at its relaxed geometry at the PBE level of DFT.

Energy of formation, meV per atom: 1761
Polymorph energy (0 for the lowest one), meV per atom: 537

Cell: 4.613 4.613 4.613 Å, 90.00 90.00 90.00°
Space group Pm-3m (No. 221)
One atom of each set of equivalent atoms:
Na 0.000 0.000 0.000
Re 0.500 0.500 0.500
Ag 0.000 0.000 0.500

=====

Computed, not measured: crystalline Ac2LaDyP4 at its relaxed geometry at the PBE level of DFT.

Energy of formation, meV per atom: -1493

Cell: 7.438 4.301 7.447 Å, 90.00 109.41 90.00°
Space group P2/m (No. 10)
One atom of each set of equivalent atoms:
Ac 0.000 0.000 0.000
Ac 0.500 0.500 0.000
La 0.000 0.500 0.500
Dy 0.500 0.000 0.500
P 0.252 0.000 0.735
P 0.262 0.500 0.268

=====

Computed, not measured: crystalline Tb2Ni3Ge4Ir at its relaxed geometry at the PBE level of DFT.

Energy of formation, meV per atom: -719

Cell: 4.083 4.083 9.925 Å, 90.00 90.00 90.00°
Space group P-4m2 (No. 115)
One atom of each set of equivalent atoms:
Tb 0.000 0.500 0.243
Ni 0.000 0.500 0.876
Ni 0.500 0.500 0.500
Ge 0.000 0.000 0.000
Ge 0.000 0.500 0.641
Ge 0.500 0.500 0.000
Ir 0.000 0.000 0.500

=====

Computed, not measured: crystalline Ba3MoRh at its relaxed geometry at the PBE level of DFT.

Energy of formation, meV per atom: 691
Polymorph energy (0 for the lowest one), meV per atom: 0

Cell: 5.978 5.978 5.978 Å, 90.00 90.00 90.00°
Space group Pm-3m (No. 221)
One atom of each set of equivalent atoms:
Ba 0.000 0.000 0.500
Mo 0.500 0.500 0.500
Rh 0.000 0.000 0.000

=====

Computed, not measured: crystalline AlB2Ru at its relaxed geometry at the PBE level of DFT.

Energy of formation, meV per atom: 560

Cell: 4.889 4.889 9.456 Å, 90.00 90.00 90.00°
Space group I-42d (No. 122)
One atom of each set of equivalent atoms:
Al 0.000 0.000 0.000
B 0.212 0.250 0.625
Ru 0.000 0.000 0.500

=====

Computed, not measured: crystalline Ba5AgPt2 at its relaxed geometry at the PBE level of DFT.

Energy of formation, meV per atom: -512

Cell: 8.730 8.730 15.927 Å, 90.00 90.00 90.00°
Space group I4/mcm (No. 140)
One atom of each set of equivalent atoms:
Ba 0.000 0.000 0.000
Ba 0.164 0.336 0.132
Ag 0.000 0.000 0.250
Pt 0.136 0.364 0.500

=====

Computed, not measured: crystalline KY2Al at its relaxed geometry at the PBE level of DFT.

Energy of formation, meV per atom: 318

Cell: 5.109 5.109 4.582 Å, 90.00 90.00 90.00°
Space group P4/mmm (No. 123)
One atom of each set of equivalent atoms:
K 0.000 0.000 0.000
Y 0.000 0.500 0.500
Al 0.500 0.500 0.000

=====

Computed, not measured: crystalline Ca3Pm2PaBi6 at its relaxed geometry at the PBE level of DFT.

Energy of formation, meV per atom: -714

Cell: 7.965 13.821 7.898 Å, 90.00 109.75 90.00°
Space group C2/m (No. 12)
One atom of each set of equivalent atoms:
Ca 0.000 0.000 0.000
Ca 0.000 0.328 0.000
Pm 0.000 0.166 0.500
Pa 0.000 0.500 0.500
Bi 0.242 0.338 0.741
Bi 0.242 0.500 0.257